Record 1
An optimized crystal structure of Ac2PmHoS4. Source: Alexandria, functional PBE. Values from VASP.

```
&SYSTEM
  ibrav = 0, nat = 8, ntyp = 4
/
ATOMIC_SPECIES
Ac 227.00 Ac.upf
Pm 145.00 Pm.upf
Ho 164.93 Ho.upf
S 32.06 S.upf
CELL_PARAMETERS angstrom
7.058 0.000 0.000
0.000 4.045 0.000
-2.325 0.000 6.991
ATOMIC_POSITIONS crystal
Ac 0.000 0.000 0.000
Ac 0.500 0.500 0.000
Pm 0.000 0.500 0.500
Ho 0.500 0.000 0.500
S 0.249 0.000 0.725
S 0.267 0.500 0.280
S 0.733 0.500 0.720
S 0.751 0.000 0.275
```

Values from the calculation:
The value obtained for the density of states at the Fermi level is 4.16 states/eV per cell. The calculated volume is 199.59 Å³/cell. As for the energy: -49.980 eV per formula unit. The symmetry is P2/m, No. 10.

Record 2
An optimized crystal structure of ZnTc. Source: Alexandria, functional PBE. Values from VASP.

```
&SYSTEM
  ibrav = 0, nat = 12, ntyp = 2
/
ATOMIC_SPECIES
Zn 65.41 Zn.upf
Tc 98.00 Tc.upf
CELL_PARAMETERS angstrom
7.038 0.000 0.000
0.000 7.038 0.000
0.000 0.000 7.038
ATOMIC_POSITIONS crystal
Zn 0.000 0.250 0.500
Zn 0.000 0.750 0.500
Zn 0.250 0.500 0.000
Zn 0.500 0.000 0.250
Zn 0.500 0.000 0.750
Zn 0.750 0.500 0.000
Tc 0.000 0.500 0.250
Tc 0.000 0.500 0.750
Tc 0.250 0.000 0.500
Tc 0.500 0.250 0.000
Tc 0.500 0.750 0.000
Tc 0.750 0.000 0.500
```

Values from the calculation:
The value obtained for the density of states at the Fermi level is 11.53 states/eV per cell. The calculated volume is 348.59 Å³/cell. Its energy of formation is 1.97 eV/atom. Its offset from the most stable computed form is 2008 meV per atom. As for the energy: -7.704 eV per formula unit. The symmetry is Pm-3n, No. 223.

Record 3
An optimized crystal structure of KAcEr4S8. Source: Alexandria, functional PBE. Values from VASP.

```
&SYSTEM
  ibrav = 0, nat = 14, ntyp = 4
/
ATOMIC_SPECIES
K 39.10 K.upf
Ac 227.00 Ac.upf
Er 167.26 Er.upf
S 32.06 S.upf
CELL_PARAMETERS angstrom
4.075 2.353 7.010
-4.075 2.353 7.010
0.000 -4.705 7.010
ATOMIC_POSITIONS crystal
K 0.000 0.000 0.000
Ac 0.635 0.635 0.635
Er 0.118 0.636 0.636
Er 0.257 0.257 0.257
Er 0.636 0.118 0.636
Er 0.636 0.636 0.118
S 0.378 0.378 0.867
S 0.378 0.867 0.378
S 0.388 0.388 0.388
S 0.427 0.879 0.879
S 0.863 0.863 0.863
S 0.867 0.378 0.378
S 0.879 0.427 0.879
S 0.879 0.879 0.427
```

Values from the calculation:
The value obtained for the density of states at the Fermi level is 0.00 states/eV per cell. The calculated volume is 403.22 Å³/cell. As for the energy: -83.445 eV per formula unit. The symmetry is R3m, No. 160.

Record 4
An optimized crystal structure of YNi2Os. Source: Alexandria, functional PBE. Values from VASP.

```
&SYSTEM
  ibrav = 0, nat = 4, ntyp = 3
/
ATOMIC_SPECIES
Y 88.91 Y.upf
Ni 58.69 Ni.upf
Os 190.23 Os.upf
CELL_PARAMETERS angstrom
2.869 0.000 0.000
0.000 4.182 0.000
-1.389 0.000 5.092
ATOMIC_POSITIONS crystal
Y 0.000 0.000 0.000
Ni 0.606 0.500 0.219
Ni 0.727 0.000 0.487
Os 0.305 0.500 0.625
```

Values from the calculation:
The value obtained for the density of states at the Fermi level is 3.92 states/eV per cell. The calculated volume is 61.10 Å³/cell. Its energy of formation is 0.04 eV/atom. Its offset from the most stable computed form is 187 meV per atom. As for the energy: -29.098 eV per formula unit. The symmetry is Pm, No. 6.